# LaSm3Th3, optimized geometry, DFT GGA-PBE
# Fermi-level density of states in states/eV/cell: 25.0
# Formation energy in meV per atom: 78
data_LaSm3Th3
_cell_length_a 9.594
_cell_length_b 9.594
_cell_length_c 5.952
_cell_angle_alpha 90.00
_cell_angle_beta 90.00
_cell_angle_gamma 120.00
_space_group_name_H-M_alt 'P 1'
_space_group_IT_number 1
_space_group_name_Hall 'P 1'
loop_
_atom_site_label
_atom_site_fract_x
_atom_site_fract_y
_atom_site_fract_z
_atom_site_occupancy
La1 0.333 0.667 0.250 1
La2 0.667 0.333 0.750 1
Sm1 0.043 0.242 0.250 1
Sm2 0.198 0.957 0.250 1
Sm3 0.242 0.198 0.750 1
Sm4 0.758 0.802 0.250 1
Sm5 0.802 0.043 0.750 1
Sm6 0.957 0.758 0.750 1
Th1 0.101 0.487 0.750 1
Th2 0.386 0.899 0.750 1
Th3 0.487 0.386 0.250 1
Th4 0.513 0.614 0.750 1
Th5 0.614 0.101 0.250 1
Th6 0.899 0.513 0.250 1



# La4Sm3Th2, optimized geometry, DFT GGA-PBE
# Fermi-level density of states in states/eV/cell: 13.9
# Formation energy in meV per atom: 151
data_La4Sm3Th2
_cell_length_a 6.510
_cell_length_b 6.510
_cell_length_c 9.454
_cell_angle_alpha 101.65
_cell_angle_beta 101.65
_cell_angle_gamma 53.62
_space_group_name_H-M_alt 'P 1'
_space_group_IT_number 1
_space_group_name_Hall 'P 1'
loop_
_atom_site_label
_atom_site_fract_x
_atom_site_fract_y
_atom_site_fract_z
_atom_site_occupancy
La1 0.181 0.181 0.450 1
La2 0.259 0.259 0.129 1
La3 0.741 0.741 0.871 1
La4 0.819 0.819 0.550 1
Sm1 0.401 0.401 0.822 1
Sm2 0.500 0.500 0.500 1
Sm3 0.599 0.599 0.178 1
Th1 0.075 0.075 0.786 1
Th2 0.925 0.925 0.214 1



Question: Look up the formation energy of the first one.
Answer: 78 meV per atom



Question: Which of these has the highest formation energy?
Answer: La4Sm3Th2



Question: Which of these has the highest Fermi-level density of states?
Answer: LaSm3Th3



Repeat the second record exactly.
# La4Sm3Th2, optimized geometry, DFT GGA-PBE
# Fermi-level density of states in states/eV/cell: 13.9
# Formation energy in meV per atom: 151
data_La4Sm3Th2
_cell_length_a 6.510
_cell_length_b 6.510
_cell_length_c 9.454
_cell_angle_alpha 101.65
_cell_angle_beta 101.65
_cell_angle_gamma 53.62
_space_group_name_H-M_alt 'P 1'
_space_group_IT_number 1
_space_group_name_Hall 'P 1'
loop_
_atom_site_label
_atom_site_fract_x
_atom_site_fract_y
_atom_site_fract_z
_atom_site_occupancy
La1 0.181 0.181 0.450 1
La2 0.259 0.259 0.129 1
La3 0.741 0.741 0.871 1
La4 0.819 0.819 0.550 1
Sm1 0.401 0.401 0.822 1
Sm2 0.500 0.500 0.500 1
Sm3 0.599 0.599 0.178 1
Th1 0.075 0.075 0.786 1
Th2 0.925 0.925 0.214 1